DFT (PBE) results for an optimized crystal structure of NaLi6Sn.

abc: 4.884 6.125 6.125
angles: 119.97 90.00 90.00
Sites, in units of the cell vectors:
Li  0.000  0.593  0.407
Li  0.000  0.064  0.406
Li  0.000  0.594  0.936
Sn  0.000  0.084  0.916
Li  0.500  0.927  0.073
Li  0.500  0.926  0.604
Li  0.500  0.396  0.074
Na  0.500  0.416  0.584

Computed properties:
Space-group type ... Amm2, No. 38
VASP energy ... -18.095 eV per cell
Total moment ... 0.00 μB/f.u.
Energy relative to the elements ... -0.16 eV per atom

***

DFT (PBE) results for an optimized crystal structure of NaLi2Sn2.

abc: 8.266 8.266 3.409
angles: 90.00 90.00 90.00
Sites, in units of the cell vectors:
Li  0.173  0.673  0.500
Sn  0.625  0.125  0.000
Li  0.327  0.173  0.500
Na  0.500  0.500  0.000
Sn  0.375  0.875  0.000
Sn  0.125  0.375  0.000
Na  0.000  0.000  0.000
Li  0.827  0.327  0.500
Li  0.673  0.827  0.500
Sn  0.875  0.625  0.000

Computed properties:
Space-group type ... P4/mbm, No. 127
VASP energy ... -29.091 eV per cell
Polymorph energy (0 for the lowest one) ... 0 meV per atom
Total moment ... 0.00 μB/f.u.
Energy relative to the elements ... -0.28 eV per atom

***

DFT (PBE) results for an optimized crystal structure of Na4LiSn5.

abc: 6.618 7.438 7.438
angles: 78.59 63.59 63.59
Sites, in units of the cell vectors:
Na  0.232  0.368  0.264
Na  0.864  0.632  0.736
Na  0.496  0.736  0.368
Sn  0.953  0.877  0.304
Sn  0.830  0.304  0.123
Sn  0.357  0.000  0.000
Sn  0.134  0.123  0.696
Na  0.600  0.264  0.632
Li  0.768  0.000  0.000
Sn  0.257  0.696  0.877

Computed properties:
Space-group type ... I4, No. 79
VASP energy ... -28.728 eV per cell
Total moment ... 0.00 μB/f.u.
Energy relative to the elements ... -0.15 eV per atom

***

DFT (PBE) results for an optimized crystal structure of NaLiSn2.

abc: 3.548 3.548 7.533
angles: 90.00 90.00 90.00
Sites, in units of the cell vectors:
Na  0.500  0.500  0.500
Sn  0.000  0.000  0.208
Li  0.500  0.500  0.000
Sn  0.000  0.000  0.792

Computed properties:
Space-group type ... P4/mmm, No. 123
VASP energy ... -12.195 eV per cell
Polymorph energy (0 for the lowest one) ... 0 meV per atom
Total moment ... 0.00 μB/f.u.
Energy relative to the elements ... -0.24 eV per atom